Entry 1:
A plane-wave DFT calculation with PBE-GGA was carried out for a relaxed structure of BeCd2Br.

Geometry as extended XYZ:
```
4
Lattice="3.212 0.000 0.000 0.000 3.212 0.000 0.000 0.000 8.454" Properties=species:S:1:pos:R:3 pbc="T T T"
Be 0.000 0.000 4.264
Br 1.606 1.606 5.621
Cd 0.000 0.000 0.279
Cd 1.606 1.606 2.516
```

Summary:
As for the crystal system: tetragonal. The value obtained for the formation energy (no corrections) is 257 meV/atom. The calculation puts the energy relative to the lowest polymorph listed for this composition at 17.8 kJ/mol of atoms. The space-group type is P4mm, No. 99.

=====

Entry 2:
A plane-wave DFT calculation with PBE-GGA was carried out for a relaxed structure of Cu2SnAsAu.

Geometry as extended XYZ:
```
5
Lattice="-1.395 4.318 -1.543 -0.174 -1.810 -4.910 -4.582 -1.257 0.626" Properties=species:S:1:pos:R:3 pbc="T T T"
Cu -0.697 2.159 -0.771
Au -0.087 -0.905 -2.455
As -3.076 0.625 -2.913
Cu -2.291 -0.628 0.313
Sn 0.000 0.000 0.000
```

Summary:
As for the crystal system: tetragonal. The calculation puts the energy relative to the elements at 913 meV/atom. The space-group type is P4/mmm, No. 123.

=====

Entry 3:
A plane-wave DFT calculation with PBE-GGA was carried out for a relaxed structure of La3Tl.

Geometry as extended XYZ:
```
4
Lattice="-0.468 5.706 -2.305 -3.670 -2.115 -4.489 -4.940 1.030 3.553" Properties=species:S:1:pos:R:3 pbc="T T T"
La -2.470 0.515 1.776
Tl 0.000 0.000 0.000
La -1.835 -1.057 -2.245
La -0.234 2.853 -1.153
```

Summary:
As for the crystal system: cubic. The calculation puts the energy relative to the lowest polymorph listed for this composition at 89.1 kJ/mol of atoms. The calculation puts the energy relative to the elements at 680 meV/atom. The space-group type is Pm-3m, No. 221.

=====

Entry 4:
A plane-wave DFT calculation with PBE-GGA was carried out for a relaxed structure of Sm2Be4ZnSi3.

Geometry as extended XYZ:
```
10
Lattice="3.925 0.000 0.000 0.000 3.925 0.000 0.000 0.000 9.729" Properties=species:S:1:pos:R:3 pbc="T T T"
Be 1.962 0.000 6.179
Be 0.000 0.000 0.000
Si 1.962 0.000 8.454
Be 0.000 1.962 3.549
Sm 0.000 1.962 7.324
Si 0.000 0.000 4.864
Si 0.000 1.962 1.274
Sm 1.962 0.000 2.405
Zn 1.962 1.962 4.864
Be 1.962 1.962 0.000
```

Summary:
As for the crystal system: tetragonal. The value obtained for the formation energy (no corrections) is -402 meV/atom. The space-group type is P-4m2, No. 115.

=====

Entry 5:
A plane-wave DFT calculation with PBE-GGA was carried out for a relaxed structure of Sr2In3Au9.

Geometry as extended XYZ:
```
28
Lattice="7.788 -0.165 -3.240 -4.674 7.024 0.056 0.244 0.280 11.346" Properties=species:S:1:pos:R:3 pbc="T T T"
Au 0.469 1.008 4.490
Au -0.181 5.745 3.512
Sr -1.826 2.982 2.895
Au 6.773 -0.014 -2.093
In 0.043 2.841 10.649
In 6.001 1.426 2.926
Au -1.679 4.859 0.183
Au -0.406 4.052 5.986
Au 0.687 4.842 8.757
Au 3.990 0.365 1.197
Au 2.889 6.132 3.672
Sr 1.673 1.902 7.476
Au -0.632 6.774 6.965
Au 5.037 2.281 7.979
In 3.894 -0.082 -1.620
Sr 5.184 4.158 5.267
Sr 1.685 5.237 0.686
Au 1.061 1.973 1.797
In 1.679 3.570 4.081
Au -3.071 6.159 2.497
In -2.643 5.713 5.236
Au -3.415 7.153 10.255
In 3.315 4.298 -2.487
Au 3.764 3.087 2.176
Au 2.297 5.166 6.365
Au 3.539 1.394 4.650
Au 6.430 0.980 5.665
Au 2.671 2.297 -0.595
```

Summary:
As for the crystal system: monoclinic. The calculation puts the energy relative to the elements at -431 meV/atom. The space-group type is C2/c, No. 15.

=====

Entry 6:
A plane-wave DFT calculation with PBE-GGA was carried out for a relaxed structure of Sr3La2N4.

Geometry as extended XYZ:
```
9
Lattice="-1.669 2.468 -2.347 -0.770 -3.118 -5.795 -8.166 -2.451 0.166" Properties=species:S:1:pos:R:3 pbc="T T T"
N -2.525 -1.017 -5.402
La -4.339 -2.581 -5.755
N -8.080 -2.084 -2.573
La -6.265 -0.521 -2.220
N -4.032 0.948 -2.264
N -6.573 -4.050 -5.712
Sr -2.103 -1.195 -2.825
Sr -8.502 -1.906 -5.151
Sr 0.000 0.000 0.000
```

Summary:
As for the crystal system: monoclinic. The value obtained for the formation energy (no corrections) is -840 meV/atom. The space-group type is C2/m, No. 12.

=====

Entry 7:
A plane-wave DFT calculation with PBE-GGA was carried out for a relaxed structure of CdAg2Cl.

Geometry as extended XYZ:
```
4
Lattice="-3.314 0.239 -3.773 -0.557 -1.348 -4.811 -4.366 -6.167 -2.170" Properties=species:S:1:pos:R:3 pbc="T T T"
Ag -7.736 -6.744 -10.234
Cl -2.039 -1.813 -2.643
Ag -6.188 -5.473 -8.069
Cd -4.631 -4.160 -5.940
```

Summary:
As for the crystal system: monoclinic. The value obtained for the formation energy (no corrections) is -138 meV/atom. The calculation puts the energy relative to the lowest polymorph listed for this composition at 2.4 kJ/mol of atoms. The space-group type is Cm, No. 8.

=====

Entry 8:
A plane-wave DFT calculation with PBE-GGA was carried out for a relaxed structure of LaCeHo2In4.

Geometry as extended XYZ:
```
8
Lattice="4.796 0.000 0.000 2.398 4.153 0.000 2.398 1.384 12.522" Properties=species:S:1:pos:R:3 pbc="T T T"
Ce 4.796 2.769 6.261
Ho 4.796 2.769 2.341
La 0.000 0.000 0.000
In 7.194 4.153 7.930
In 7.194 4.153 3.680
In 2.398 1.384 4.591
Ho 4.796 2.769 10.181
In 2.398 1.384 8.842
```

Summary:
As for the crystal system: trigonal. The calculation puts the energy relative to the elements at -82 meV/atom. The space-group type is R-3m, No. 166.

=====

Calculated values (eV per atom) of VASP energy for the records, taken in order: -1.55, -3.11, -3.61, -4.59, -3.36, -6.20, -2.25, -3.95.